DFT (GGA-PBE) results for a relaxed structure of SrAl2W.

## Properties
Total DFT energy (no corrections) = -0.3812 Ry per atom
E above lowest polymorph = 195 meV/atom
Density of states at the Fermi level = 0.590 states/eV per atom
E_form = 0.344 eV per atom

a = 2.929 Å, b = 4.383 Å, c = 7.134 Å
α = 90.00°, β = 90.00°, γ = 90.00°
Space group Pmm2 (No. 25)
Asymmetric unit:
Sr1 0.000 0.000 0.000 (multiplicity 1)
Al1 0.500 0.000 0.584 (multiplicity 1)
Al2 0.500 0.500 0.321 (multiplicity 1)
W1 0.000 0.500 0.633 (multiplicity 1)

DFT (GGA-PBE) results for a relaxed structure of BaAgPdF6.

## Properties
Total DFT energy (no corrections) = -0.3256 Ry per atom

a = 4.495 Å, b = 5.784 Å, c = 5.942 Å
α = 62.53°, β = 89.97°, γ = 89.71°
Space group P1 (No. 1)
Asymmetric unit:
Ba1 0.000 0.000 0.000 (multiplicity 1)
Ag1 0.594 0.659 0.685 (multiplicity 1)
Pd1 0.283 0.331 0.343 (multiplicity 1)
F1 0.028 0.553 0.984 (multiplicity 1)
F2 0.042 0.442 0.560 (multiplicity 1)
F3 0.046 0.007 0.447 (multiplicity 1)
F4 0.505 0.664 0.257 (multiplicity 1)
F5 0.507 0.230 0.109 (multiplicity 1)
F6 0.509 0.060 0.714 (multiplicity 1)

DFT (GGA-PBE) results for a relaxed structure of LaReBr2.

## Properties
Total DFT energy (no corrections) = -0.3778 Ry per atom
E above lowest polymorph = 314 meV/atom
Density of states at the Fermi level = 0.279 states/eV per atom

a = 6.173 Å, b = 7.343 Å, c = 4.248 Å
α = 90.00°, β = 90.00°, γ = 90.00°
Space group Cmmm (No. 65)
Asymmetric unit:
La1 0.000 0.000 0.000 (multiplicity 2)
Re1 0.000 0.500 0.000 (multiplicity 2)
Br1 0.000 0.296 0.500 (multiplicity 4)

DFT (GGA-PBE) results for a relaxed structure of Re2Ir6Rh.

## Properties
Total DFT energy (no corrections) = -0.6934 Ry per atom
E above lowest polymorph = 158 meV/atom
Density of states at the Fermi level = 0.705 states/eV per atom
E_form = 0.056 eV per atom

a = 12.546 Å, b = 2.730 Å, c = 9.266 Å
α = 90.00°, β = 121.07°, γ = 90.00°
Space group C2/m (No. 12)
Asymmetric unit:
Re1 0.157 0.000 0.286 (multiplicity 4)
Ir1 0.035 0.500 0.732 (multiplicity 4)
Ir2 0.125 0.000 0.548 (multiplicity 4)
Ir3 0.248 0.500 0.121 (multiplicity 4)
Rh1 0.000 0.500 0.000 (multiplicity 2)

DFT (GGA-PBE) results for a relaxed structure of CaMn4P12.

## Properties
Total DFT energy (no corrections) = -0.4782 Ry per atom
Density of states at the Fermi level = 0.503 states/eV per atom
E_form = -0.412 eV per atom

a = 7.950 Å, b = 7.950 Å, c = 7.950 Å
α = 90.00°, β = 90.00°, γ = 90.00°
Space group Im-3 (No. 204)
Asymmetric unit:
Ca1 0.000 0.000 0.000 (multiplicity 2)
Mn1 0.250 0.250 0.250 (multiplicity 8)
P1 0.000 0.354 0.146 (multiplicity 24)

DFT (GGA-PBE) results for a relaxed structure of Na3Cd3Ge2.

## Properties
Total DFT energy (no corrections) = -0.1511 Ry per atom
Density of states at the Fermi level = 0.490 states/eV per atom
E_form = -0.063 eV per atom

a = 8.389 Å, b = 16.477 Å, c = 5.910 Å
α = 90.00°, β = 90.00°, γ = 90.00°
Space group Pnma (No. 62)
Asymmetric unit:
Na1 0.032 0.112 0.105 (multiplicity 8)
Na2 0.169 0.250 0.632 (multiplicity 4)
Cd1 0.180 0.032 0.616 (multiplicity 8)
Cd2 0.182 0.750 0.633 (multiplicity 4)
Ge1 0.115 0.611 0.396 (multiplicity 8)

DFT (GGA-PBE) results for a relaxed structure of ScAl3Pb.

## Properties
Total DFT energy (no corrections) = -0.2403 Ry per atom
E above lowest polymorph = 231 meV/atom
Density of states at the Fermi level = 0.758 states/eV per atom
E_form = 0.984 eV per atom

a = 5.278 Å, b = 5.278 Å, c = 5.278 Å
α = 90.00°, β = 90.00°, γ = 90.00°
Space group Pm-3m (No. 221)
Asymmetric unit:
Sc1 0.000 0.000 0.000 (multiplicity 1)
Al1 0.000 0.500 0.500 (multiplicity 3)
Pb1 0.500 0.500 0.500 (multiplicity 1)

DFT (GGA-PBE) results for a relaxed structure of KCuMo2.

## Properties
Total DFT energy (no corrections) = -0.4303 Ry per atom
E above lowest polymorph = 178 meV/atom
Density of states at the Fermi level = 0.498 states/eV per atom
E_form = 0.860 eV per atom

a = 2.571 Å, b = 5.025 Å, c = 11.563 Å
α = 90.00°, β = 90.00°, γ = 90.00°
Space group Immm (No. 71)
Asymmetric unit:
K1 0.000 0.000 0.000 (multiplicity 2)
Cu1 0.000 0.000 0.500 (multiplicity 2)
Mo1 0.000 0.500 0.210 (multiplicity 4)

Question: The highest total DFT energy (no corrections) belongs to which entry?
Answer: Na3Cd3Ge2